BaErPO | PBE | optimized geometry

Structure (POSCAR):
```
BaErPO
1.0
4.729 0.000 0.000
0.000 4.729 0.000
0.000 0.000 9.851
Ba Er P O
2 2 2 2
Cartesian
1.182 3.546 0.000
3.546 1.182 0.000
1.182 1.182 4.457
3.546 3.546 5.394
1.182 1.182 1.884
3.546 3.546 7.967
1.182 3.546 4.926
3.546 1.182 4.926
```

Computed properties:
Calculated volume   220.3 Å³ per cell
Distance to the lowest polymorph of the same formula   474.8 meV/atom
Raw total energy   -0.2130 hartree per atom

---

BaErPO | PBE | optimized geometry

Structure (POSCAR):
```
BaErPO
1.0
5.487 0.000 0.000
0.000 5.487 0.000
0.000 0.000 6.144
Ba Er P O
2 2 2 2
Cartesian
1.372 1.372 0.019
4.115 4.115 6.125
1.372 4.115 3.072
4.115 1.372 3.072
1.372 1.372 3.097
4.115 4.115 3.047
1.372 4.115 0.000
4.115 1.372 0.000
```

Computed properties:
Calculated volume   185.0 Å³ per cell
Distance to the lowest polymorph of the same formula   278.8 meV/atom
Raw total energy   -0.2202 hartree per atom

---

BaErPO | PBE | optimized geometry

Structure (POSCAR):
```
BaErPO
1.0
3.984 0.000 0.000
0.000 6.886 0.000
0.000 0.000 7.437
Ba Er P O
2 2 2 2
Cartesian
0.000 0.418 0.000
0.000 6.468 3.718
1.992 2.677 2.705
1.992 4.209 6.423
1.992 1.753 5.307
1.992 5.133 1.589
0.000 1.888 2.183
0.000 4.998 5.902
```

Computed properties:
Calculated volume   204.0 Å³ per cell
Distance to the lowest polymorph of the same formula   193.5 meV/atom
Raw total energy   -0.2234 hartree per atom

---

BaEr2Si3O10 | PBE | optimized geometry

Structure (POSCAR):
```
BaEr2Si3O10
1.0
5.368 0.000 0.000
0.000 12.109 0.000
-1.948 0.000 6.539
Ba Er Si O
2 4 6 20
Cartesian
0.367 3.027 3.129
3.053 9.082 3.411
0.480 7.261 1.199
0.480 10.903 1.199
2.940 1.206 5.340
2.940 4.848 5.340
0.244 6.784 4.659
0.244 11.381 4.659
2.215 3.027 0.067
1.205 9.082 6.472
3.177 0.729 1.880
3.177 5.326 1.880
-1.125 6.672 5.568
-1.125 11.492 5.568
-1.034 3.027 5.629
-0.104 7.544 3.272
-0.104 10.620 3.272
1.750 9.082 0.742
0.986 0.696 4.515
0.986 5.359 4.515
2.082 1.712 1.052
2.082 4.343 1.052
1.338 7.767 5.487
1.338 10.397 5.487
2.434 6.751 2.024
2.434 11.413 2.024
1.670 3.027 5.797
3.524 1.489 3.267
3.524 4.566 3.267
4.454 9.082 0.910
4.546 0.618 0.972
4.546 5.437 0.972
```

Computed properties:
Calculated volume   425.1 Å³ per cell
Raw total energy   -0.2933 hartree per atom

---

Ba2ErTaO6 | PBE | optimized geometry

Structure (POSCAR):
```
Ba2ErTaO6
1.0
0.000 4.212 4.212
4.212 0.000 4.212
4.212 4.212 0.000
Ba Er Ta O
2 1 1 6
Cartesian
2.106 2.106 2.106
6.318 6.318 6.318
0.000 0.000 0.000
4.212 4.212 4.212
4.212 4.212 2.209
4.212 2.209 4.212
6.214 4.212 4.212
2.209 4.212 4.212
4.212 6.214 4.212
4.212 4.212 6.214
```

Computed properties:
Calculated volume   149.4 Å³ per cell
Raw total energy   -0.3006 hartree per atom

---

Ba5Er8Zn4O21 | PBE | optimized geometry

Structure (POSCAR):
```
Ba5Er8Zn4O21
1.0
-6.837 6.837 2.837
6.837 -6.837 2.837
6.837 6.837 -2.837
Ba Er Zn O
5 8 4 21
Cartesian
0.000 0.000 0.000
7.330 1.908 0.000
1.908 6.343 0.000
4.929 0.494 2.837
-0.494 4.929 2.837
3.384 2.298 0.000
4.539 -3.452 2.837
5.633 4.886 0.000
1.951 -1.204 2.837
4.886 8.041 0.000
1.204 1.951 2.837
2.298 10.289 0.000
3.452 4.539 2.837
10.254 0.555 0.000
0.555 3.419 0.000
6.281 3.417 2.837
-3.417 6.281 2.837
8.866 -3.310 1.425
5.086 0.529 0.000
7.501 4.412 -1.415
3.527 -2.030 1.412
4.412 6.172 -1.415
2.425 0.665 1.422
6.308 -1.751 2.837
10.147 2.030 1.412
-0.665 2.425 1.422
4.807 3.310 1.425
0.000 0.000 2.837
2.030 3.527 1.412
7.501 4.412 1.415
-3.310 4.807 1.425
0.529 8.587 0.000
4.412 6.172 1.415
2.425 0.665 4.251
3.310 8.866 1.425
-0.665 2.425 4.251
1.751 6.308 2.837
-2.030 10.147 1.412
```

Computed properties:
Calculated volume   530.3 Å³ per cell
Raw total energy   -0.2560 hartree per atom